(1)
First-principles (PBE) data for crystalline CdCu2Sn at its relaxed geometry, as listed in OQMD.

It has space group F-43m (No. 216), with a = 6.566 Å, b = 6.566 Å, c = 6.566 Å, α = 90.00°, β = 90.00° and γ = 90.00°. The distinct sites, in fractional coordinates, are Cd at (0.000, 0.000, 0.000), Cu at (0.000, 0.000, 0.500), Cu at (0.250, 0.250, 0.750) and Sn at (0.250, 0.250, 0.250).

Its total energy is -0.20742 Ry/atom.

(2)
First-principles (PBE) data for crystalline Ba2AlHg at its relaxed geometry, as listed in OQMD.

It has space group F-43m (No. 216), with a = 8.101 Å, b = 8.101 Å, c = 8.101 Å, α = 90.00°, β = 90.00° and γ = 90.00°. The distinct sites, in fractional coordinates, are Ba at (0.000, 0.000, 0.000), Ba at (0.250, 0.250, 0.250), Al at (0.000, 0.000, 0.500) and Hg at (0.250, 0.250, 0.750).

Its total energy is -0.14860 Ry/atom.

(3)
First-principles (PBE) data for crystalline BaHgO3 at its relaxed geometry, as listed in OQMD.

It has space group P4mm (No. 99), with a = 4.226 Å, b = 4.226 Å, c = 4.274 Å, α = 90.00°, β = 90.00° and γ = 90.00°. The distinct sites, in fractional coordinates, are Ba at (0.000, 0.000, 0.000), Hg at (0.500, 0.500, 0.501), O at (0.000, 0.500, 0.508) and O at (0.500, 0.500, 0.002).

Its total energy is -0.32380 Ry/atom.

(4)
First-principles (PBE) data for crystalline HoHfTlC at its relaxed geometry, as listed in OQMD.

It has space group P-3m1 (No. 164), with a = 3.4524 Å, b = 3.4524 Å, c = 15.5933 Å, α = 90.00°, β = 90.00° and γ = 120.00°. The distinct sites, in fractional coordinates, are Ho at (0.3333, 0.6667, 0.4125), Hf at (0.3333, 0.6667, 0.0762), Tl at (0.3333, 0.6667, 0.7613), C at (0.0000, 0.0000, 0.0000) and C at (0.0000, 0.0000, 0.5000).

For the distance to the lowest polymorph of the same formula, the calculation gives 3.12 kJ/mol of atoms.

(5)
First-principles (PBE) data for crystalline Li2Mg2ZnGePd2 at its relaxed geometry, as listed in OQMD.

It has space group P-4m2 (No. 115), with a = 4.419 Å, b = 4.419 Å, c = 6.252 Å, α = 90.00°, β = 90.00° and γ = 90.00°. The distinct sites, in fractional coordinates, are Li at (0.000, 0.500, 0.249), Mg at (0.000, 0.000, 0.000), Mg at (0.500, 0.500, 0.500), Zn at (0.500, 0.500, 0.000), Ge at (0.000, 0.000, 0.500) and Pd at (0.000, 0.500, 0.744).

Its total energy is -0.25006 Ry/atom.

(6)
First-principles (PBE) data for crystalline CsSm2Cu3SeS4 at its relaxed geometry, as listed in OQMD.

It has space group Cmcm (No. 63), with a = 4.048 Å, b = 14.186 Å, c = 17.311 Å, α = 90.00°, β = 90.00° and γ = 90.00°. The distinct sites, in fractional coordinates, are Cs at (0.000, 0.061, 0.250), Sm at (0.000, 0.190, 0.588), Cu at (0.000, 0.348, 0.250), Cu at (0.000, 0.416, 0.537), Se at (0.000, 0.237, 0.750), S at (0.000, 0.166, 0.069) and S at (0.000, 0.441, 0.107).

Its total energy is -0.36432 Ry/atom.

(7)
First-principles (PBE) data for crystalline AgBi2O4 at its relaxed geometry, as listed in OQMD.

It has space group Fd-3m (No. 227, origin choice 2), with a = 9.874 Å, b = 9.874 Å, c = 9.874 Å, α = 90.00°, β = 90.00° and γ = 90.00°. The distinct sites, in fractional coordinates, are Ag at (0.125, 0.125, 0.125), Bi at (0.000, 0.000, 0.500) and O at (0.013, 0.013, 0.737).

Its total energy is -0.37661 Ry/atom.

(8)
First-principles (PBE) data for crystalline Na2AlGaAu2 at its relaxed geometry, as listed in OQMD.

It has space group P-6m2 (No. 187), with a = 4.7463 Å, b = 4.7463 Å, c = 5.8538 Å, α = 90.00°, β = 90.00° and γ = 120.00°. The distinct sites, in fractional coordinates, are Na at (0.0000, 0.0000, 0.2479), Al at (0.3333, 0.6667, 0.5000), Ga at (0.6667, 0.3333, 0.0000), Au at (0.3333, 0.6667, 0.0000) and Au at (0.6667, 0.3333, 0.5000).

Its total energy is -0.21679 Ry/atom.

(9)
First-principles (PBE) data for crystalline PrCoP2Pd at its relaxed geometry, as listed in OQMD.

It has space group I-4m2 (No. 119), with a = 4.066 Å, b = 4.066 Å, c = 9.788 Å, α = 90.00°, β = 90.00° and γ = 90.00°. The distinct sites, in fractional coordinates, are Pr at (0.000, 0.000, 0.000), Co at (0.000, 0.500, 0.250), P at (0.000, 0.000, 0.379) and Pd at (0.000, 0.500, 0.750).

Its total energy is -0.47310 Ry/atom.

(10)
First-principles (PBE) data for crystalline PuNi2Ge2 at its relaxed geometry, as listed in OQMD.

It has space group P4/nmm (No. 129, origin choice 2), with a = 4.118 Å, b = 4.118 Å, c = 9.582 Å, α = 90.00°, β = 90.00° and γ = 90.00°. The distinct sites, in fractional coordinates, are Pu at (0.250, 0.250, 0.248), Ni at (0.250, 0.250, 0.626), Ni at (0.250, 0.750, 0.000), Ge at (0.250, 0.250, 0.871) and Ge at (0.250, 0.750, 0.500).

Its total energy is -0.54737 Ry/atom.

(11)
First-principles (PBE) data for crystalline Cs2Cd2O3 at its relaxed geometry, as listed in OQMD.

It has space group C2/m (No. 12), with a = 13.209 Å, b = 3.894 Å, c = 7.027 Å, α = 90.00°, β = 121.80° and γ = 90.00°. The distinct sites, in fractional coordinates, are Cs at (0.091, 0.000, 0.368), Cd at (0.174, 0.500, 0.042), O at (0.000, 0.500, 0.000) and O at (0.229, 0.500, 0.787).

Its total energy is -0.27089 Ry/atom.

(12)
First-principles (PBE) data for crystalline Sr2PdPtN2 at its relaxed geometry, as listed in OQMD.

It has space group Pmmm (No. 47), with a = 3.817 Å, b = 3.929 Å, c = 7.578 Å, α = 90.00°, β = 90.00° and γ = 90.00°. The distinct sites, in fractional coordinates, are Sr at (0.000, 0.000, 0.246), Pd at (0.500, 0.500, 0.000), Pt at (0.500, 0.500, 0.500), N at (0.000, 0.500, 0.500) and N at (0.500, 0.000, 0.000).

Its total energy is -0.42721 Ry/atom.

What did the twelfth record say?
First-principles (PBE) data for crystalline Sr2PdPtN2 at its relaxed geometry, as listed in OQMD.

It has space group Pmmm (No. 47), with a = 3.817 Å, b = 3.929 Å, c = 7.578 Å, α = 90.00°, β = 90.00° and γ = 90.00°. The distinct sites, in fractional coordinates, are Sr at (0.000, 0.000, 0.246), Pd at (0.500, 0.500, 0.000), Pt at (0.500, 0.500, 0.500), N at (0.000, 0.500, 0.500) and N at (0.500, 0.000, 0.000).

Its total energy is -0.42721 Ry/atom.